! PuSi4Ni4 (PBE-GGA, optimized geometry); values from VASP
! energy relative to the elements, uncorrected	-0.45	eV/atom
! raw total energy	-63.21	eV/cell
! total magnetic moment	6.11	μB per formula unit
&SYSTEM
  ibrav = 0, nat = 9, ntyp = 3
/
ATOMIC_SPECIES
Pu 244.00 Pu.upf
Si 28.09 Si.upf
Ni 58.69 Ni.upf
ATOMIC_POSITIONS angstrom
Pu 0.000 0.000 0.000
Si 4.807 0.924 0.000
Si 0.924 3.042 0.000
Si 3.001 0.882 2.163
Si -0.882 3.001 2.163
Ni 2.566 1.473 0.000
Ni 2.451 -1.358 2.163
Ni 1.473 5.282 0.000
Ni 1.358 2.451 2.163
CELL_PARAMETERS angstrom
-3.924 3.924 2.163
3.924 -3.924 2.163
3.924 3.924 -2.163